Pa2FePbO8 | GGA+U | optimized geometry

Geometry as POSCAR:
```
Pa2FePbO8
1.0
-2.695 2.695 5.481
2.695 -2.695 5.481
2.695 2.695 -5.481
Pa Fe Pb O
2 1 1 8
direct
0.000 0.000 0.000
0.750 0.250 0.500
0.500 0.500 0.000
0.250 0.750 0.500
0.049 0.064 0.409
0.168 0.607 0.965
0.359 0.951 0.014
0.393 0.358 0.561
0.642 0.203 0.035
0.655 0.641 0.591
0.797 0.832 0.439
0.936 0.345 0.986
```

Magnetization   4.94 μB per cell
Total energy   -8.20 eV/atom